[1]
CsBi | PBE | relaxed

Values from the calculation:
As for the crystal system: hexagonal. The value obtained for the volume is 178.4 Å³/cell. As for the energy of formation: 0.081 eV/atom. The offset from the most stable computed form is 0.475 eV per atom. As for the symmetry: P6_3mc, No. 186.

Cell lengths 3.8540, 3.8540, 13.8720 Å; angles 90.00, 90.00, 120.00 degrees
Last column: nearest neighbours and their distance in Å.
Sites, in units of the cell vectors:
Cs1 0.3333 0.6667 0.0000  4 Bi 3.77-3.87, 6 Cs 3.85
Cs2 0.6667 0.3333 0.5000  4 Bi 3.77-3.87, 6 Cs 3.85
Bi1 0.3333 0.6667 0.2719  4 Cs 3.77-3.87, 6 Bi 3.85
Bi2 0.6667 0.3333 0.7719  4 Cs 3.77-3.87, 6 Bi 3.85



[2]
CsBi | PBE | relaxed

Values from the calculation:
As for the crystal system: tetragonal. The value obtained for the volume is 511.9 Å³/cell. As for the energy of formation: -0.148 eV/atom. The offset from the most stable computed form is 0.246 eV per atom. As for the symmetry: P4_2/mnm, No. 136.

Cell lengths 8.1267, 8.1267, 7.7512 Å; angles 90.00, 90.00, 90.00 degrees
Last column: nearest neighbours and their distance in Å.
Sites, in units of the cell vectors:
Cs1 0.1820 0.1820 0.0000  4 Bi 3.93, 1 Cs 4.18
Cs2 0.3180 0.6819 0.5000  4 Bi 3.93, 1 Cs 4.18
Cs3 0.6819 0.3180 0.5000  4 Bi 3.93, 1 Cs 4.18
Cs4 0.8181 0.8181 0.0000  4 Bi 3.93, 1 Cs 4.18
Bi1 0.1254 0.1254 0.5000  1 Bi 2.88
Bi2 0.3746 0.6254 0.0000  1 Bi 2.88
Bi3 0.6254 0.3746 0.0000  1 Bi 2.88
Bi4 0.8746 0.8746 0.5000  1 Bi 2.88



[3]
Cs3Bi | PBE | relaxed

Values from the calculation:
As for the crystal system: cubic. The value obtained for the volume is 224.4 Å³/cell. As for the energy of formation: -0.187 eV/atom. As for the symmetry: Pm-3m, No. 221.

Cell lengths 6.0768, 6.0768, 6.0768 Å; angles 90.00, 90.00, 90.00 degrees
Last column: nearest neighbours and their distance in Å.
Sites, in units of the cell vectors:
Cs1 0.0000 0.0000 0.5000  4 Bi 4.30, 8 Cs 4.30
Cs2 0.0000 0.5000 0.0000  4 Bi 4.30, 8 Cs 4.30
Cs3 0.5000 0.0000 0.0000  4 Bi 4.30, 8 Cs 4.30
Bi1 0.5000 0.5000 0.5000  12 Cs 4.30



[4]
Cs6Bi | PBE | relaxed

Values from the calculation:
As for the crystal system: cubic. The value obtained for the volume is 1255.0 Å³/cell. As for the energy of formation: 0.549 eV/atom. As for the symmetry: Im-3m, No. 229.

Cell lengths 11.7693, 11.7693, 11.7693 Å; angles 109.47, 109.47, 109.47 degrees
Last column: nearest neighbours and their distance in Å.
Sites, in units of the cell vectors:
Cs1 0.2500 0.5000 0.7500  4 Cs 4.80
Cs2 0.2500 0.7500 0.5000  4 Cs 4.80
Cs3 0.5000 0.2500 0.7500  4 Cs 4.80
Cs4 0.5000 0.7500 0.2500  4 Cs 4.80
Cs5 0.7500 0.2500 0.5000  4 Cs 4.80
Cs6 0.7500 0.5000 0.2500  4 Cs 4.80
Bi1 0.0000 0.0000 0.0000  none within 6



[5]
CsBi | PBE | relaxed

Values from the calculation:
As for the crystal system: tetragonal. The value obtained for the volume is 539.0 Å³/cell. As for the energy of formation: -0.308 eV/atom. The offset from the most stable computed form is 0.086 eV per atom. As for the symmetry: I4/mmm, No. 139.

Cell lengths 10.4575, 10.4575, 10.4575 Å; angles 93.63, 93.63, 150.86 degrees
Last column: nearest neighbours and their distance in Å.
Sites, in units of the cell vectors:
Cs1 0.0000 0.2501 0.2501  6 Bi 4.04-4.17
Cs2 0.0000 0.7499 0.7499  6 Bi 4.04-4.17
Cs3 0.2501 0.0000 0.2501  6 Bi 4.04-4.17
Cs4 0.7499 0.0000 0.7499  6 Bi 4.04-4.17
Bi1 0.2890 0.2890 0.5779  2 Bi 3.07
Bi2 0.2890 0.7110 0.0000  2 Bi 3.07
Bi3 0.7110 0.2890 0.0000  2 Bi 3.07
Bi4 0.7110 0.7110 0.4221  2 Bi 3.07



[6]
CsBi | PBE | relaxed

Values from the calculation:
As for the crystal system: orthorhombic. The value obtained for the volume is 198.3 Å³/cell. As for the energy of formation: -0.366 eV/atom. The offset from the most stable computed form is 0.028 eV per atom. As for the symmetry: Imma, No. 74.

Cell lengths 7.5786, 7.5786, 7.5786 Å; angles 142.93, 130.09, 63.77 degrees
Last column: nearest neighbours and their distance in Å.
Sites, in units of the cell vectors:
Cs1 0.3593 0.1093 0.2500  8 Bi 4.09-4.39, 4 Cs 4.26-4.35
Cs2 0.6407 0.8907 0.7500  8 Bi 4.09-4.39, 4 Cs 4.26-4.35
Bi1 0.0743 0.3243 0.7500  2 Bi 3.08
Bi2 0.9257 0.6757 0.2500  2 Bi 3.08



| no. | total magnetic moment (μB per cell) |
| --- | --- |
| 1 | 0.0 |
| 2 | 2.6 |
| 3 | 0.0 |
| 4 | 2.2 |
| 5 | 0.0 |
| 6 | 0.0 |